Tl2VOF5 | Alexandria | GGA+U | relaxed; space group = I4mm; total energy = -5.120 eV/atom; density of states at the Fermi level = 0.000 states/eV/atom
1.0
-5.206 1.990 2.889
4.242 -3.712 2.764
4.895 3.745 -1.195
Tl V O F
2 1 1 5
Direct
0.500 0.235 0.735
0.500 0.735 0.235
0.000 0.987 0.987
0.000 0.808 0.808
0.439 0.227 0.227
0.561 0.788 0.788
0.000 0.788 0.227
0.000 0.227 0.788
0.000 0.204 0.204